DFT (PBE) results for a relaxed structure of CaLa4Eu.

## Properties
E_form: 1.01 eV per formula unit
density of states at the Fermi level: 2.505 states/eV/atom
total energy: -5.16 eV/atom
magnetization: 1.270 μB/atom

Cell lengths 9.8959, 9.8959, 9.8959 Å; angles 90.00, 90.00, 90.00 degrees
With the nearest neighbours (Å) after each atom.
Space group F-43m (No. 216)
Asymmetric unit:
Ca (0.0000, 0.0000, 0.0000) x4  12 La 4.10, 4 Eu 4.29
La (0.1252, 0.1252, 0.3748) x16  6 La 3.49-3.50
Eu (0.2500, 0.2500, 0.7500) x4  12 La 4.10, 4 Ca 4.29

***

DFT (PBE) results for a relaxed structure of Pu2MnPb.

## Properties
E_form: 0.61 eV per formula unit
density of states at the Fermi level: 3.098 states/eV/atom
total energy: -10.23 eV/atom
magnetization: 1.856 μB/atom

Cell lengths 7.3699, 7.3699, 7.3699 Å; angles 90.00, 90.00, 90.00 degrees
With the nearest neighbours (Å) after each atom.
Space group Fm-3m (No. 225)
Asymmetric unit:
Pu (0.2500, 0.2500, 0.2500) x8  4 Mn 3.19, 4 Pb 3.19
Mn (0.0000, 0.0000, 0.0000) x4  8 Pu 3.19
Pb (0.0000, 0.0000, 0.5000) x4  8 Pu 3.19

***

DFT (PBE) results for a relaxed structure of CsNbOs2.

## Properties
E_form: 6.94 eV per formula unit
density of states at the Fermi level: 0.382 states/eV/atom
total energy: -6.61 eV/atom
magnetization: 0.000 μB/atom

Cell lengths 7.7355, 7.7355, 5.8079 Å; angles 90.00, 90.00, 90.00 degrees
With the nearest neighbours (Å) after each atom.
Space group I-42d (No. 122)
Asymmetric unit:
Cs (0.0000, 0.0000, 0.0000) x4  2 Nb 2.90, 4 Os 3.10
Nb (0.0000, 0.0000, 0.5000) x4  4 Os 2.59
Os (0.2019, 0.2500, 0.6250) x8  2 Nb 2.59

***

total energy of number 3 (CsNbOs2)?
-6.61 eV/atom

***

Look up the magnetization of the third one.
0.000 μB/atom

***

density of states at the Fermi level of number 3 (CsNbOs2)?
0.382 states/eV/atom